Here is a geometry-optimized CoCuNi2 structure from Alexandria. Energies are from PBE.

a b c (Å): 4.840 4.840 4.840
angles (deg): 148.82 129.25 60.77
Fractional positions:
1 Co 0.000 0.000 0.000
2 Cu 0.257 0.757 0.500
3 Ni 0.512 0.512 0.000
4 Ni 0.759 0.259 0.500

Computed properties:
The calculated formation energy comes out at 0.12 eV/atom. As for the density of states at the Fermi level: 4.9 states/eV/cell. The value obtained for the total energy is -22.26 eV/cell.

Here is a geometry-optimized AlIn2Os structure from Alexandria. Energies are from PBE.

a b c (Å): 7.588 7.588 7.588
angles (deg): 95.67 95.67 143.37
Fractional positions:
1 Al 0.375 0.625 0.750
2 Al 0.625 0.375 0.250
3 In 0.000 0.000 0.000
4 In 0.000 0.000 0.500
5 In 0.000 0.500 0.000
6 In 0.500 0.000 0.500
7 Os 0.125 0.875 0.250
8 Os 0.875 0.125 0.750

Computed properties:
The calculated formation energy comes out at 0.22 eV/atom. As for the density of states at the Fermi level: 4.8 states/eV/cell. The value obtained for the total energy is -39.17 eV/cell.

Here is a geometry-optimized ZrNi2Au structure from Alexandria. Energies are from PBE.

a b c (Å): 5.628 5.628 5.628
angles (deg): 103.96 103.96 121.17
Fractional positions:
1 Zr 0.000 0.000 0.000
2 Zr 0.750 0.250 0.500
3 Ni 0.125 0.625 0.000
4 Ni 0.375 0.375 0.500
5 Ni 0.625 0.125 0.000
6 Ni 0.875 0.875 0.500
7 Au 0.250 0.750 0.500
8 Au 0.500 0.500 0.000

Computed properties:
The calculated formation energy comes out at 0.05 eV/atom. As for the density of states at the Fermi level: 6.8 states/eV/cell. The value obtained for the total energy is -46.37 eV/cell.

Here is a geometry-optimized Rb2AgGe2Te4 structure from Alexandria. Energies are from PBE.

a b c (Å): 8.927 8.927 7.755
angles (deg): 112.80 112.80 35.54
Fractional positions:
1 Rb 0.141 0.141 0.127
2 Rb 0.859 0.859 0.873
3 Ag 0.000 0.000 0.500
4 Ge 0.381 0.381 0.393
5 Ge 0.619 0.619 0.607
6 Te 0.182 0.182 0.663
7 Te 0.499 0.499 0.761
8 Te 0.501 0.501 0.239
9 Te 0.818 0.818 0.337

Computed properties:
As for the density of states at the Fermi level: 2.7 states/eV/cell. The value obtained for the total energy is -30.22 eV/cell. As for the formation energy (no corrections): -0.40 eV per atom.

Here is a geometry-optimized CsK2LiPt structure from Alexandria. Energies are from PBE.

a b c (Å): 6.419 6.419 5.275
angles (deg): 90.00 90.00 90.00
Fractional positions:
1 Cs 0.000 0.000 0.000
2 K 0.000 0.500 0.500
3 K 0.500 0.000 0.500
4 Li 0.500 0.500 0.000
5 Pt 0.500 0.500 0.500

Computed properties:
The calculated formation energy comes out at 0.05 eV/atom. As for the density of states at the Fermi level: 2.3 states/eV/cell. The value obtained for the total energy is -10.76 eV/cell.

Here is a geometry-optimized TeWI2N structure from Alexandria. Energies are from PBE.

a b c (Å): 4.803 4.803 5.069
angles (deg): 90.00 90.00 90.00
Fractional positions:
1 Te 0.000 0.000 0.000
2 W 0.500 0.500 0.000
3 I 0.000 0.500 0.500
4 I 0.500 0.000 0.500
5 N 0.000 0.000 0.500

Computed properties:
As for the density of states at the Fermi level: 4.2 states/eV/cell. The excess energy over the best structure of this formula in the dataset is 6.121 eV per formula unit. The value obtained for the total energy is -18.65 eV/cell. As for the formation energy (no corrections): 1.77 eV per atom.

Here is a geometry-optimized Cs2AuI7 structure from Alexandria. Energies are from PBE.

a b c (Å): 8.922 8.922 8.922
angles (deg): 120.69 120.69 88.81
Fractional positions:
1 Cs 0.250 0.750 0.500
2 Cs 0.750 0.250 0.500
3 Au 0.000 0.000 0.000
4 I 0.216 0.216 0.432
5 I 0.216 0.784 0.000
6 I 0.269 0.269 0.000
7 I 0.500 0.500 0.000
8 I 0.731 0.731 0.000
9 I 0.784 0.216 0.000
10 I 0.784 0.784 0.568

Computed properties:
As for the density of states at the Fermi level: 0.0 states/eV/cell. The value obtained for the total energy is -22.54 eV/cell. As for the formation energy (no corrections): -0.67 eV per atom.

Here is a geometry-optimized NpTaGe2 structure from Alexandria. Energies are from PBE.

a b c (Å): 3.464 3.464 6.344
angles (deg): 90.00 90.00 90.00
Fractional positions:
1 Np 0.000 0.000 0.000
2 Ta 0.000 0.000 0.500
3 Ge 0.500 0.500 0.291
4 Ge 0.500 0.500 0.709

Computed properties:
The calculated formation energy comes out at -0.07 eV/atom. As for the density of states at the Fermi level: 7.6 states/eV/cell. The value obtained for the total energy is -34.29 eV/cell.

Here is a geometry-optimized La2ErAl12Ni3 structure from Alexandria. Energies are from PBE.

a b c (Å): 7.934 7.934 7.934
angles (deg): 64.55 64.55 64.55
Fractional positions:
1 La 0.080 0.080 0.080
2 La 0.920 0.920 0.920
3 Er 0.500 0.500 0.500
4 Al 0.030 0.663 0.663
5 Al 0.222 0.222 0.606
6 Al 0.222 0.606 0.222
7 Al 0.337 0.337 0.970
8 Al 0.337 0.970 0.337
9 Al 0.394 0.778 0.778
10 Al 0.606 0.222 0.222
11 Al 0.663 0.030 0.663
12 Al 0.663 0.663 0.030
13 Al 0.778 0.394 0.778
14 Al 0.778 0.778 0.394
15 Al 0.970 0.337 0.337
16 Ni 0.000 0.500 0.500
17 Ni 0.500 0.000 0.500
18 Ni 0.500 0.500 0.000

Computed properties:
The calculated formation energy comes out at -0.05 eV/atom. As for the density of states at the Fermi level: 9.4 states/eV/cell. The value obtained for the total energy is -77.62 eV/cell.

Here is a geometry-optimized ZnSbTe structure from Alexandria. Energies are from PBE.

a b c (Å): 4.150 4.150 5.180
angles (deg): 90.00 90.00 120.00
Fractional positions:
1 Zn 0.000 0.000 0.000
2 Sb 0.667 0.333 0.287
3 Te 0.333 0.667 0.700

Computed properties:
As for the density of states at the Fermi level: 0.9 states/eV/cell. The excess energy over the best structure of this formula in the dataset is 0.028 eV per formula unit. The value obtained for the total energy is -8.50 eV/cell. As for the formation energy (no corrections): 0.01 eV per atom.

Here is a geometry-optimized V7Tc3 structure from Alexandria. Energies are from PBE.

a b c (Å): 8.111 8.111 5.115
angles (deg): 90.00 90.00 120.00
Fractional positions:
1 V 0.000 0.500 0.000
2 V 0.000 0.500 0.500
3 V 0.121 0.242 0.250
4 V 0.121 0.879 0.250
5 V 0.242 0.121 0.750
6 V 0.333 0.667 0.250
7 V 0.500 0.000 0.000
8 V 0.500 0.000 0.500
9 V 0.500 0.500 0.000
10 V 0.500 0.500 0.500
11 V 0.667 0.333 0.750
12 V 0.758 0.879 0.250
13 V 0.879 0.121 0.750
14 V 0.879 0.758 0.750
15 Tc 0.214 0.429 0.750
16 Tc 0.214 0.786 0.750
17 Tc 0.429 0.214 0.250
18 Tc 0.571 0.786 0.750
19 Tc 0.786 0.214 0.250
20 Tc 0.786 0.571 0.250

Computed properties:
The calculated formation energy comes out at 0.09 eV/atom. As for the density of states at the Fermi level: 26.1 states/eV/cell. The value obtained for the total energy is -188.14 eV/cell.

Here is a geometry-optimized AcHoN2 structure from Alexandria. Energies are from PBE.

a b c (Å): 6.434 6.434 6.434
angles (deg): 33.10 33.10 33.10
Fractional positions:
1 Ac 0.000 0.000 0.000
2 Ho 0.500 0.500 0.500
3 N 0.242 0.242 0.242
4 N 0.758 0.758 0.758

Computed properties:
As for the density of states at the Fermi level: 0.2 states/eV/cell. The excess energy over the best structure of this formula in the dataset is 0.000 eV per formula unit. The value obtained for the total energy is -30.51 eV/cell. As for the formation energy (no corrections): -1.29 eV per atom.

Here is a geometry-optimized LaErCdCu structure from Alexandria. Energies are from PBE.

a b c (Å): 5.245 5.245 5.245
angles (deg): 60.00 60.00 60.00
Fractional positions:
1 La 0.000 0.000 0.000
2 Er 0.500 0.500 0.500
3 Cd 0.750 0.750 0.750
4 Cu 0.250 0.250 0.250

Computed properties:
The calculated formation energy comes out at -0.19 eV/atom. As for the density of states at the Fermi level: 2.3 states/eV/cell. The value obtained for the total energy is -15.28 eV/cell.

Here is a geometry-optimized CaLa2Pt structure from Alexandria. Energies are from PBE.

a b c (Å): 6.267 6.267 3.591
angles (deg): 102.68 102.68 118.32
Fractional positions:
1 Ca 0.000 0.000 0.000
2 La 0.000 0.500 0.500
3 La 0.500 0.000 0.500
4 Pt 0.500 0.500 0.000

Computed properties:
The calculated formation energy comes out at -0.14 eV/atom. As for the density of states at the Fermi level: 4.7 states/eV/cell. The excess energy over the best structure of this formula in the dataset is 1.795 eV per formula unit. The value obtained for the total energy is -18.45 eV/cell.

Here is a geometry-optimized Te2Pb structure from Alexandria. Energies are from PBE.

a b c (Å): 6.044 6.044 8.863
angles (deg): 99.09 99.09 45.08
Fractional positions:
1 Te 0.000 0.000 0.000
2 Te 0.062 0.062 0.321
3 Te 0.385 0.385 0.646
4 Te 0.745 0.745 0.008
5 Pb 0.355 0.355 0.288
6 Pb 0.699 0.699 0.650

Computed properties:
As for the density of states at the Fermi level: 0.8 states/eV/cell. The value obtained for the total energy is -20.81 eV/cell. As for the formation energy (no corrections): -0.14 eV per atom.

Here is a geometry-optimized Hg2BiS structure from Alexandria. Energies are from PBE.

a b c (Å): 7.657 7.657 7.657
angles (deg): 129.44 129.44 74.30
Fractional positions:
1 Hg 0.088 0.625 0.963
2 Hg 0.375 0.338 0.463
3 Hg 0.662 0.125 0.037
4 Hg 0.875 0.912 0.537
5 Bi 0.250 0.750 0.500
6 Bi 0.500 0.500 0.000
7 S 0.000 0.000 0.000
8 S 0.750 0.250 0.500

Computed properties:
As for the density of states at the Fermi level: 5.4 states/eV/cell. The value obtained for the total energy is -16.34 eV/cell. As for the formation energy (no corrections): 0.11 eV per atom.

Here is a geometry-optimized CrIn2As structure from Alexandria. Energies are from PBE.

a b c (Å): 6.370 6.370 6.370
angles (deg): 101.53 101.53 126.88
Fractional positions:
1 Cr 0.000 0.000 0.000
2 Cr 0.750 0.250 0.500
3 In 0.151 0.625 0.026
4 In 0.375 0.401 0.526
5 In 0.599 0.125 0.974
6 In 0.875 0.849 0.474
7 As 0.250 0.750 0.500
8 As 0.500 0.500 0.000

Computed properties:
The calculated formation energy comes out at 0.31 eV/atom. As for the density of states at the Fermi level: 4.2 states/eV/cell. The value obtained for the total energy is -36.99 eV/cell.

Here is a geometry-optimized Mg7In2Ga structure from Alexandria. Energies are from PBE.

a b c (Å): 7.369 7.369 7.369
angles (deg): 60.00 60.00 60.00
Fractional positions:
1 Mg 0.000 0.000 0.000
2 Mg 0.256 0.256 0.744
3 Mg 0.256 0.744 0.256
4 Mg 0.256 0.744 0.744
5 Mg 0.744 0.256 0.256
6 Mg 0.744 0.256 0.744
7 Mg 0.744 0.744 0.256
8 In 0.250 0.250 0.250
9 In 0.750 0.750 0.750
10 Ga 0.500 0.500 0.500

Computed properties:
The calculated formation energy comes out at 0.30 eV/atom. As for the density of states at the Fermi level: 5.3 states/eV/cell. The excess energy over the best structure of this formula in the dataset is 3.493 eV per formula unit. The value obtained for the total energy is -16.62 eV/cell.

Here is a geometry-optimized RbBa3N structure from Alexandria. Energies are from PBE.

a b c (Å): 4.131 11.314 11.285
angles (deg): 90.00 100.23 90.00
Fractional positions:
1 Rb 0.243 0.250 0.482
2 Rb 0.757 0.750 0.518
3 Ba 0.079 0.538 0.163
4 Ba 0.079 0.962 0.163
5 Ba 0.469 0.750 0.936
6 Ba 0.531 0.250 0.064
7 Ba 0.921 0.038 0.837
8 Ba 0.921 0.462 0.837
9 N 0.500 0.000 0.000
10 N 0.500 0.500 0.000

Computed properties:
As for the density of states at the Fermi level: 9.7 states/eV/cell. The value obtained for the total energy is -31.56 eV/cell. As for the formation energy (no corrections): -0.14 eV per atom.

Here is a geometry-optimized Sr3CaSn4O12 structure from Alexandria. Energies are from PBE.

a b c (Å): 5.736 8.149 5.805
angles (deg): 90.00 90.05 90.00
Fractional positions:
1 Sr 0.000 0.000 0.000
2 Sr 0.017 0.500 0.926
3 Sr 0.519 0.000 0.493
4 Ca 0.500 0.500 0.413
5 Sn 0.010 0.252 0.461
6 Sn 0.010 0.748 0.461
7 Sn 0.511 0.252 0.959
8 Sn 0.511 0.748 0.959
9 O 0.086 0.000 0.446
10 O 0.224 0.292 0.175
11 O 0.224 0.708 0.175
12 O 0.307 0.301 0.665
13 O 0.307 0.699 0.665
14 O 0.433 0.000 0.936
15 O 0.587 0.500 0.001
16 O 0.722 0.208 0.247
17 O 0.722 0.792 0.247
18 O 0.804 0.212 0.752
19 O 0.804 0.788 0.752
20 O 0.913 0.500 0.479

Computed properties:
As for the density of states at the Fermi level: 0.0 states/eV/cell. The value obtained for the total energy is -126.98 eV/cell. As for the formation energy (no corrections): -2.22 eV per atom.